[1]
Crystalline Nd12Sm3Tm at its relaxed geometry, computed with PBE.

Results
Symmetry: P4/mmm (123)
ΔE_f, eV/atom: 0.01
E_tot, eV per cell: -75.636

Cell lengths 5.1757, 5.1757, 20.6680 Å; angles 90.00, 90.00, 90.00 degrees
With the nearest neighbours (Å) after each atom.
Fractional coordinates of all 16 atoms:
Nd: 0.5000 0.5000 0.0000  8 Nd 3.63, 4 Tm 3.66
Nd: 0.5000 0.5000 0.2486  4 Sm 3.66, 8 Nd 3.66-3.67
Nd: 0.5000 0.5000 0.5000  4 Sm 3.66, 8 Nd 3.66
Nd: 0.5000 0.5000 0.7514  4 Sm 3.66, 8 Nd 3.66-3.67
Nd: 0.5000 0.0000 0.1233  8 Nd 3.63-3.66, 2 Tm 3.63, 2 Sm 3.66
Nd: 0.5000 0.0000 0.3746  8 Nd 3.66-3.67, 4 Sm 3.66-3.67
Nd: 0.5000 0.0000 0.6254  8 Nd 3.66-3.67, 4 Sm 3.66-3.67
Nd: 0.5000 0.0000 0.8767  8 Nd 3.63-3.66, 2 Tm 3.63, 2 Sm 3.66
Nd: 0.0000 0.5000 0.1233  8 Nd 3.63-3.66, 2 Tm 3.63, 2 Sm 3.66
Nd: 0.0000 0.5000 0.3746  8 Nd 3.66-3.67, 4 Sm 3.66-3.67
Nd: 0.0000 0.5000 0.6254  8 Nd 3.66-3.67, 4 Sm 3.66-3.67
Nd: 0.0000 0.5000 0.8767  8 Nd 3.63-3.66, 2 Tm 3.63, 2 Sm 3.66
Sm: 0.0000 0.0000 0.2488  12 Nd 3.66-3.67
Sm: 0.0000 0.0000 0.5000  12 Nd 3.66
Sm: 0.0000 0.0000 0.7512  12 Nd 3.66-3.67
Tm: 0.0000 0.0000 0.0000  12 Nd 3.63-3.66

[2]
Crystalline CaAc9Dy2 at its relaxed geometry, computed with PBE.

Results
Symmetry: P4/mmm (123)
ΔE_f, eV/atom: 0.03
E_tot, eV per cell: -47.813

Cell lengths 5.5234, 5.5234, 16.5988 Å; angles 90.00, 90.00, 90.00 degrees
With the nearest neighbours (Å) after each atom.
Fractional coordinates of all 12 atoms:
Ca: 0.0000 0.0000 0.0000  12 Ac 3.91-3.97
Ac: 0.5000 0.5000 0.0000  4 Ca 3.91, 8 Ac 3.97
Ac: 0.5000 0.5000 0.3357  8 Ac 3.87-3.88, 4 Dy 3.91
Ac: 0.5000 0.5000 0.6643  8 Ac 3.87-3.88, 4 Dy 3.91
Ac: 0.5000 0.0000 0.1722  2 Dy 3.86, 8 Ac 3.87-3.97, 2 Ca 3.97
Ac: 0.5000 0.0000 0.5000  8 Ac 3.88-3.91, 4 Dy 3.90
Ac: 0.5000 0.0000 0.8278  2 Dy 3.86, 8 Ac 3.87-3.97, 2 Ca 3.97
Ac: 0.0000 0.5000 0.1722  2 Dy 3.86, 8 Ac 3.87-3.97, 2 Ca 3.97
Ac: 0.0000 0.5000 0.5000  8 Ac 3.88-3.91, 4 Dy 3.90
Ac: 0.0000 0.5000 0.8278  2 Dy 3.86, 8 Ac 3.87-3.97, 2 Ca 3.97
Dy: 0.0000 0.0000 0.3344  12 Ac 3.86-3.91
Dy: 0.0000 0.0000 0.6656  12 Ac 3.86-3.91

[3]
Crystalline Li2AcScO4 at its relaxed geometry, computed with PBE.

Results
Energy relative to the elements, uncorrected, eV per atom: -2.81
Symmetry: I-42m (121)
E_tot, eV per cell: -56.541

Cell lengths 5.4838, 5.2335, 5.2335 Å; angles 84.38, 58.40, 58.40 degrees
With the nearest neighbours (Å) after each atom.
Fractional coordinates of all 8 atoms:
Li: 0.5000 0.7501 0.2499  4 O 2.05-2.06
Li: 0.5000 0.2499 0.7501  4 O 2.05-2.06
Ac: 0.0000 0.0000 0.0000  4 O 2.50
Sc: 0.0000 0.5000 0.5000  4 O 2.00
O: 0.5751 0.5502 0.8748  1 Sc 2.00, 2 Li 2.05-2.06
O: 0.4249 0.1252 0.4498  1 Sc 2.00, 2 Li 2.05-2.06
O: 0.0000 0.4498 0.1252  1 Sc 2.00, 2 Li 2.05-2.06
O: 0.0000 0.8748 0.5502  1 Sc 2.00, 2 Li 2.05-2.06